1.
LiGaCo3: relaxed, PBE.

Calculated values
DOS(E_F)   1.016 states/eV/atom
E_form   0.798 eV/atom
Symmetry   Pm-3m
Mass density   7.05 g cm⁻³

Geometry as POSCAR:
```
LiGaCo3
1.0
-0.542 -3.533 -1.580
2.572 0.864 -2.813
2.892 -1.430 2.205
Co Ga Li
3 1 1
Direct
0.000 0.500 0.000 Co
0.000 0.000 0.500 Co
0.500 0.000 0.000 Co
0.500 0.500 0.500 Ga
0.000 0.000 0.000 Li
```


2.
SbPbW2: relaxed, PBE.

Calculated values
DOS(E_F)   0.875 states/eV/atom
Uncorrected formation energy   0.94 eV/atom
Symmetry   P4/mmm
Mass density   14.59 g cm⁻³

Geometry as POSCAR:
```
SbPbW2
1.0
3.391 0.000 0.000
0.000 3.390 0.000
0.000 0.000 6.897
Pb Sb W
1 1 2
Direct
0.500 0.500 0.250 Pb
0.500 0.500 0.750 Sb
0.000 0.000 0.959 W
0.000 0.000 0.541 W
```


3.
Pm3ErGe2C: relaxed, PBE.

Calculated values
DOS(E_F)   0.159 states/eV/atom
E_form   -0.593 eV/atom
Symmetry   Immm
Mass density   7.08 g cm⁻³

Geometry as POSCAR:
```
Pm3ErGe2C
1.0
-3.015 -0.002 3.613
2.043 -4.039 1.703
5.508 6.328 1.536
Pm Er Ge C
3 1 2 1
Direct
0.000 0.500 0.000 Pm
0.169 0.169 0.337 Pm
0.831 0.831 0.663 Pm
0.500 0.000 0.000 Er
0.635 0.635 0.270 Ge
0.365 0.365 0.730 Ge
0.000 0.000 0.000 C
```


> Which value of mass density does entry 2 give?

14.59 g cm⁻³


> What is the DOS(E_F) in the second record?

0.875 states/eV/atom


> The lowest DOS(E_F) belongs to which entry?

Pm3ErGe2C